Material: HfTeF3
Method: DFT, PBE-GGA
State: relaxed

Formation energy without anion corrections: -1.88 eV per formula unit
Total magnetic moment: 0.356 μB/atom
Excess energy over the best structure of this formula in the dataset: 2374.7 meV/atom

abc: 4.666 4.666 4.666
angles: 90.00 90.00 90.00
Element x y z (fractional)
F  0.000  0.500  0.000
F  0.000  0.000  0.500
F  0.500  0.000  0.000
Te  0.000  0.000  0.000
Hf  0.500  0.500  0.500


Material: Hf2TeF2
Method: DFT, PBE-GGA
State: relaxed

Formation energy without anion corrections: -5.21 eV per formula unit
Total magnetic moment: 0.000 μB/atom
Excess energy over the best structure of this formula in the dataset: 668.3 meV/atom

abc: 7.663 7.663 3.120
angles: 90.00 90.00 90.00
Element x y z (fractional)
F  0.113  0.613  0.500
F  0.613  0.887  0.500
F  0.387  0.113  0.500
F  0.887  0.387  0.500
Hf  0.131  0.369  0.000
Hf  0.369  0.869  0.000
Hf  0.869  0.631  0.000
Hf  0.631  0.131  0.000
Te  0.500  0.500  0.000
Te  0.000  0.000  0.000


Material: Hf2TeF
Method: DFT, PBE-GGA
State: relaxed

Formation energy without anion corrections: -2.20 eV per formula unit
Total magnetic moment: 0.000 μB/atom
Excess energy over the best structure of this formula in the dataset: 145.8 meV/atom

abc: 5.035 5.035 8.125
angles: 71.95 71.95 90.00
Element x y z (fractional)
Hf  0.508  0.125  0.250
Hf  0.375  0.492  0.750
Hf  0.875  0.758  0.750
Hf  0.242  0.625  0.250
Te  0.000  0.000  0.000
Te  0.750  0.250  0.500
F  0.250  0.750  0.500
F  0.500  0.500  0.000


Material: Hf2TeF2
Method: DFT, PBE-GGA
State: relaxed

Formation energy without anion corrections: -8.55 eV per formula unit
Total magnetic moment: 0.000 μB/atom
Excess energy over the best structure of this formula in the dataset: 0.0 meV/atom

abc: 3.531 3.531 6.946
angles: 75.28 75.28 90.00
Element x y z (fractional)
Hf  0.376  0.376  0.249
Hf  0.624  0.624  0.751
F  0.750  0.250  0.500
F  0.250  0.750  0.500
Te  0.000  0.000  0.000


Material: HfTe2F
Method: DFT, PBE-GGA
State: relaxed

Formation energy without anion corrections: -0.76 eV per formula unit
Total magnetic moment: 0.000 μB/atom
Excess energy over the best structure of this formula in the dataset: 778.6 meV/atom

abc: 10.263 10.263 10.263
angles: 17.97 17.97 17.97
Element x y z (fractional)
Te  0.903  0.903  0.903
Te  0.097  0.097  0.097
Hf  0.000  0.000  0.000
F  0.500  0.500  0.500